Computed, not measured: a relaxed structure of Ba4NaY3Se8 at the PBE level of DFT.

Output
Formation energy (no corrections) in eV/atom: -1.8590

Unit cell a=8.7301 b=8.7301 c=21.9285 alpha=90.00 beta=90.00 gamma=120.00
Space group R-3m (No. 166, hexagonal axes)
Inequivalent atoms, fractional coordinates:
Ba (0.0000, 0.0000, 0.0000) [3 per cell]
Ba (0.0000, 0.5000, 0.0000) [9 per cell]
Na (0.0000, 0.0000, 0.5000) [3 per cell]
Y (0.0000, 0.5000, 0.5000) [9 per cell]
Se (0.0000, 0.0000, 0.2380) [6 per cell]
Se (0.0089, 0.5044, 0.7619) [18 per cell]